*a*
VASP calculation (GGA-PBE) on a geometry-optimized La2Pr4Nd3 structure.

Cell: 5.2569 6.4420 11.1323 Å, 73.25 76.39 65.94°
Atoms (fractional coordinates):
La  0.1668  0.3886  0.2777
La  0.8332  0.6114  0.7223
Pr  0.1661  0.0561  0.6118
Pr  0.4986  0.1681  0.8345
Pr  0.5014  0.8319  0.1655
Pr  0.8339  0.9439  0.3882
Nd  0.1668  0.7225  0.9440
Nd  0.5000  0.5000  0.5000
Nd  0.8332  0.2775  0.0560

Volume ... 327 Å³ per cell
Space group ... No. 2
Magnetization ... 0.00 μB/f.u.
Density of states at the Fermi level ... 16.824 states/eV/f.u.

---

*b*
VASP calculation (GGA-PBE) on a geometry-optimized La2Pr4Nd3 structure.

Cell: 3.6990 3.6990 27.7816 Å, 90.00 90.00 120.00°
Atoms (fractional coordinates):
La  0.0000  0.0000  0.0000
La  0.0000  0.0000  0.2189
Pr  0.0000  0.0000  0.3451
Pr  0.0000  0.0000  0.5620
Pr  0.3333  0.6667  0.6711
Pr  0.3333  0.6667  0.8889
Nd  0.0000  0.0000  0.7805
Nd  0.3333  0.6667  0.1119
Nd  0.3333  0.6667  0.4505

Volume ... 329 Å³ per cell
Space group ... No. 156
Magnetization ... 0.00 μB/f.u.
Density of states at the Fermi level ... 16.846 states/eV/f.u.

---

Computed stability ranking, most favorable first: *a*, *b*